No. 1
First-principles (GGA-PBE) data for CdTeF after structural relaxation, as listed in Alexandria.

The calculation puts the density of states at the Fermi level at 0.25 states/eV per atom. For the total energy, the calculation gives -2.98 eV per atom.

It has space group P1 (No. 1), with a = 3.5109 Å, b = 3.5600 Å, c = 6.7414 Å, α = 78.78°, β = 78.51° and γ = 65.14°. The inequivalent atoms are Cd at (0.0000, 0.0000, 0.0000), Te at (0.2482, 0.2639, 0.3254) and F at (0.7034, 0.6957, 0.8398).

No. 2
First-principles (GGA-PBE) data for CdTe3F after structural relaxation, as listed in Alexandria.

The calculation puts the density of states at the Fermi level at 0.55 states/eV per atom. For the total energy, the calculation gives -2.44 eV per atom.

It has space group Pm-3m (No. 221), with a = 5.0193 Å, b = 5.0193 Å, c = 5.0193 Å, α = 90.00°, β = 90.00° and γ = 90.00°. The inequivalent atoms are Cd at (0.0000, 0.0000, 0.0000), Te at (0.0000, 0.5000, 0.5000) and F at (0.5000, 0.5000, 0.5000).

No. 3
First-principles (GGA-PBE) data for CdTeF after structural relaxation, as listed in Alexandria.

The calculation puts the density of states at the Fermi level at 0.77 states/eV per atom. For the total energy, the calculation gives -2.99 eV per atom.

It has space group Amm2 (No. 38), with a = 3.3356 Å, b = 6.0551 Å, c = 7.0631 Å, α = 90.00°, β = 90.00° and γ = 90.00°. The inequivalent atoms are Cd at (0.0000, 0.0000, 0.0000), Te at (0.0000, 0.0000, 0.3927) and F at (0.5000, 0.0000, 0.7968).

No. 4
First-principles (GGA-PBE) data for CdTeF6 after structural relaxation, as listed in Alexandria.

The calculation puts the density of states at the Fermi level at 0.00 states/eV per atom. For the total energy, the calculation gives -4.03 eV per atom.

It has space group P-31c (No. 163), with a = 5.5277 Å, b = 5.5277 Å, c = 10.4165 Å, α = 90.00°, β = 90.00° and γ = 120.00°. The inequivalent atoms are Cd at (0.3333, 0.6667, 0.2500), Te at (0.0000, 0.0000, 0.0000) and F at (0.0306, 0.3205, 0.1179).

No. 5
First-principles (GGA-PBE) data for CdTeF after structural relaxation, as listed in Alexandria.

For the total energy, the calculation gives -3.12 eV per atom.

It has space group P-1 (No. 2), with a = 4.7329 Å, b = 5.8693 Å, c = 6.0001 Å, α = 75.37°, β = 83.07° and γ = 82.31°. The inequivalent atoms are Cd at (0.2346, 0.2459, 0.0094), Te at (0.1345, 0.6280, 0.6157) and F at (0.2871, 0.8738, 0.9619).

No. 6
First-principles (GGA-PBE) data for CdTe3F after structural relaxation, as listed in Alexandria.

The calculation puts the density of states at the Fermi level at 1.01 states/eV per atom. For the total energy, the calculation gives -2.03 eV per atom.

It has space group Pm-3m (No. 221), with a = 5.4982 Å, b = 5.4982 Å, c = 5.4982 Å, α = 90.00°, β = 90.00° and γ = 90.00°. The inequivalent atoms are Cd at (0.0000, 0.0000, 0.0000), Te at (0.0000, 0.0000, 0.5000) and F at (0.5000, 0.5000, 0.5000).

no.,E_form (uncorrected) (kJ/mol of formula units)
1,-291
2,3
3,-294
4,-1636
5,-330
6,198